# La2HgC

A geometry-optimized La2HgC structure (PBE-GGA, Alexandria via LeMat-Bulk).

- size of the total moment (μB/atom) = 0.000
- symmetry = Fm-3m, No. 225
- formation energy (eV/atom) = 0.440
- VASP energy (eV/atom) = -4.405

abc: 5.161 5.161 5.161
angles: 60.00 60.00 60.00
Atoms (fractional coordinates):
La (0.250, 0.250, 0.250)
La (0.750, 0.750, 0.750)
Hg (0.000, 0.000, 0.000)
C (0.500, 0.500, 0.500)

---

# ZrZnCr

A geometry-optimized ZrZnCr structure (PBE-GGA, Alexandria via LeMat-Bulk).

- size of the total moment (μB/atom) = 0.000
- symmetry = P3m1, No. 156
- formation energy (eV/atom) = 0.427
- VASP energy (eV/atom) = -6.055

abc: 2.806 2.806 7.217
angles: 90.00 90.00 120.00
Atoms (fractional coordinates):
Zr (0.000, 0.000, 0.000)
Zn (0.333, 0.667, 0.643)
Cr (0.667, 0.333, 0.350)

---

# Zr2TlSi

A geometry-optimized Zr2TlSi structure (PBE-GGA, Alexandria via LeMat-Bulk).

- formation energy from raw total energies (eV/atom) = -0.323
- size of the total moment (μB/atom) = 0.000
- symmetry = Pm, No. 6
- VASP energy (eV/atom) = -6.545

abc: 3.961 4.002 5.653
angles: 90.00 110.44 90.00
Atoms (fractional coordinates):
Zr (0.000, 0.000, 0.000)
Zr (0.291, 0.500, 0.583)
Tl (0.724, 0.000, 0.450)
Si (0.547, 0.500, 0.097)

---

# Zn2CdGa4

A geometry-optimized Zn2CdGa4 structure (PBE-GGA, Alexandria via LeMat-Bulk).

- energy above the most stable polymorph in this dataset (meV per atom) = 0
- size of the total moment (μB/atom) = 0.000
- symmetry = P-1, No. 2
- formation energy (eV/atom) = 0.058
- VASP energy (eV/atom) = -2.166

abc: 5.100 5.645 5.650
angles: 76.42 64.57 64.44
Atoms (fractional coordinates):
Zn (0.240, 0.011, 0.011)
Zn (0.760, 0.989, 0.989)
Cd (0.500, 0.500, 0.500)
Ga (0.201, 0.106, 0.501)
Ga (0.201, 0.501, 0.106)
Ga (0.799, 0.499, 0.894)
Ga (0.799, 0.894, 0.499)

---

# Sm2ErHg2

A geometry-optimized Sm2ErHg2 structure (PBE-GGA, Alexandria via LeMat-Bulk).

- energy above the most stable polymorph in this dataset (meV per atom) = 45
- size of the total moment (μB/atom) = 0.000
- symmetry = Immm, No. 71
- formation energy (eV/atom) = -0.326
- VASP energy (eV/atom) = -3.247

abc: 5.994 5.994 5.994
angles: 132.68 108.80 89.98
Atoms (fractional coordinates):
Sm (0.195, 0.195, 0.000)
Sm (0.805, 0.805, 0.000)
Er (0.500, 0.000, 0.500)
Hg (0.219, 0.500, 0.719)
Hg (0.781, 0.500, 0.281)

---

# Y3V5H12

A geometry-optimized Y3V5H12 structure (PBE-GGA, Alexandria via LeMat-Bulk).

- size of the total moment (μB/atom) = 0.101
- symmetry = Ia-3d, No. 230
- VASP energy (eV/atom) = -5.495

abc: 9.969 9.969 9.969
angles: 109.47 109.47 109.47
Atoms (fractional coordinates):
Y (0.125, 0.250, 0.375)
Y (0.125, 0.375, 0.750)
Y (0.250, 0.375, 0.125)
Y (0.250, 0.875, 0.625)
Y (0.375, 0.125, 0.250)
Y (0.375, 0.750, 0.125)
Y (0.625, 0.250, 0.875)
Y (0.625, 0.875, 0.750)
Y (0.750, 0.125, 0.375)
Y (0.750, 0.625, 0.875)
Y (0.875, 0.625, 0.250)
Y (0.875, 0.750, 0.625)
V (0.000, 0.000, 0.000)
V (0.000, 0.000, 0.500)
V (0.000, 0.500, 0.000)
V (0.000, 0.500, 0.500)
V (0.125, 0.750, 0.875)
V (0.125, 0.875, 0.250)
V (0.250, 0.125, 0.875)
V (0.250, 0.625, 0.375)
V (0.375, 0.250, 0.625)
V (0.375, 0.625, 0.750)
V (0.500, 0.000, 0.000)
V (0.500, 0.000, 0.500)
V (0.500, 0.500, 0.000)
V (0.500, 0.500, 0.500)
V (0.625, 0.375, 0.250)
V (0.625, 0.750, 0.375)
V (0.750, 0.375, 0.625)
V (0.750, 0.875, 0.125)
V (0.875, 0.125, 0.750)
V (0.875, 0.250, 0.125)
H (0.035, 0.203, 0.121)
H (0.035, 0.332, 0.914)
H (0.082, 0.703, 0.668)
H (0.082, 0.879, 0.414)
H (0.086, 0.621, 0.418)
H (0.086, 0.965, 0.668)
H (0.121, 0.035, 0.203)
H (0.121, 0.586, 0.918)
H (0.168, 0.203, 0.582)
H (0.168, 0.465, 0.586)
H (0.203, 0.121, 0.035)
H (0.203, 0.582, 0.168)
H (0.297, 0.332, 0.918)
H (0.297, 0.465, 0.379)
H (0.332, 0.914, 0.035)
H (0.332, 0.918, 0.297)
H (0.379, 0.297, 0.465)
H (0.379, 0.582, 0.914)
H (0.414, 0.082, 0.879)
H (0.414, 0.832, 0.535)
H (0.418, 0.086, 0.621)
H (0.418, 0.832, 0.797)
H (0.465, 0.379, 0.297)
H (0.465, 0.586, 0.168)
H (0.535, 0.414, 0.832)
H (0.535, 0.621, 0.703)
H (0.582, 0.168, 0.203)
H (0.582, 0.914, 0.379)
H (0.586, 0.168, 0.465)
H (0.586, 0.918, 0.121)
H (0.621, 0.418, 0.086)
H (0.621, 0.703, 0.535)
H (0.668, 0.082, 0.703)
H (0.668, 0.086, 0.965)
H (0.703, 0.535, 0.621)
H (0.703, 0.668, 0.082)
H (0.797, 0.418, 0.832)
H (0.797, 0.879, 0.965)
H (0.832, 0.535, 0.414)
H (0.832, 0.797, 0.418)
H (0.879, 0.414, 0.082)
H (0.879, 0.965, 0.797)
H (0.914, 0.035, 0.332)
H (0.914, 0.379, 0.582)
H (0.918, 0.121, 0.586)
H (0.918, 0.297, 0.332)
H (0.965, 0.668, 0.086)
H (0.965, 0.797, 0.879)

---

# KCr3

A geometry-optimized KCr3 structure (PBE-GGA, Alexandria via LeMat-Bulk).

- energy above the most stable polymorph in this dataset (meV per atom) = 538
- size of the total moment (μB/atom) = 1.241
- symmetry = P4/mmm, No. 123
- formation energy (eV/atom) = 1.332
- VASP energy (eV/atom) = -6.160

abc: 5.191 5.191 3.141
angles: 90.00 90.00 90.00
Atoms (fractional coordinates):
K (0.000, 0.000, 0.000)
Cr (0.000, 0.500, 0.500)
Cr (0.500, 0.000, 0.500)
Cr (0.500, 0.500, 0.000)

---

# K4Np3FeS8

A geometry-optimized K4Np3FeS8 structure (PBE-GGA, Alexandria via LeMat-Bulk).

- formation energy from raw total energies (eV/atom) = -1.184
- size of the total moment (μB/atom) = 0.906
- symmetry = R-3m, No. 166
- VASP energy (eV/atom) = -6.478

abc: 8.666 8.666 8.666
angles: 55.10 55.10 55.10
Atoms (fractional coordinates):
K (0.000, 0.000, 0.000)
K (0.000, 0.500, 0.500)
K (0.500, 0.000, 0.500)
K (0.500, 0.500, 0.000)
Np (0.000, 0.000, 0.500)
Np (0.000, 0.500, 0.000)
Np (0.500, 0.000, 0.000)
Fe (0.500, 0.500, 0.500)
S (0.234, 0.234, 0.234)
S (0.240, 0.727, 0.727)
S (0.273, 0.273, 0.760)
S (0.273, 0.760, 0.273)
S (0.727, 0.240, 0.727)
S (0.727, 0.727, 0.240)
S (0.760, 0.273, 0.273)
S (0.766, 0.766, 0.766)

---

# SrRu2Au

A geometry-optimized SrRu2Au structure (PBE-GGA, Alexandria via LeMat-Bulk).

- energy above the most stable polymorph in this dataset (meV per atom) = 401
- size of the total moment (μB/atom) = 0.000
- symmetry = Imm2, No. 44
- formation energy (eV/atom) = 0.492
- VASP energy (eV/atom) = -5.386

abc: 5.300 5.300 5.300
angles: 136.78 124.65 72.70
Atoms (fractional coordinates):
Sr (0.000, 0.000, 0.000)
Ru (0.550, 0.550, 0.000)
Ru (0.715, 0.215, 0.500)
Au (0.283, 0.783, 0.500)

---

# SrTa2W

A geometry-optimized SrTa2W structure (PBE-GGA, Alexandria via LeMat-Bulk).

- energy above the most stable polymorph in this dataset (meV per atom) = 199
- size of the total moment (μB/atom) = 0.000
- symmetry = P4mm, No. 99
- formation energy (eV/atom) = 0.771
- VASP energy (eV/atom) = -8.814

abc: 2.830 2.830 10.389
angles: 90.00 90.00 90.00
Atoms (fractional coordinates):
Sr (0.000, 0.000, 0.000)
Ta (0.000, 0.000, 0.512)
Ta (0.500, 0.500, 0.294)
W (0.500, 0.500, 0.731)

---

# Al2ZnCr2

A geometry-optimized Al2ZnCr2 structure (PBE-GGA, Alexandria via LeMat-Bulk).

- energy above the most stable polymorph in this dataset (meV per atom) = 269
- size of the total moment (μB/atom) = 0.000
- symmetry = I4/mmm, No. 139
- formation energy (eV/atom) = 0.381
- VASP energy (eV/atom) = -5.220

abc: 7.137 7.137 7.137
angles: 152.84 152.84 38.78
Atoms (fractional coordinates):
Al (0.101, 0.101, 0.000)
Al (0.899, 0.899, 0.000)
Zn (0.500, 0.500, 0.000)
Cr (0.250, 0.750, 0.500)
Cr (0.750, 0.250, 0.500)